# ThIrBr

A relaxed structure of ThIrBr (GGA-PBE, the Alexandria database).

The calculation puts the formation energy from raw total energies at -1.079 eV/atom. The crystal system is triclinic. The total magnetization is 0.00 μB per formula unit.

It has space group P-1 (No. 2), with a = 3.6892 Å, b = 4.0614 Å, c = 12.2331 Å, α = 90.16°, β = 93.24° and γ = 90.00°. The asymmetric unit holds Th at (0.0295, 0.2514, 0.1577), Ir at (0.4862, 0.2494, 0.9277) and Br at (0.4350, 0.7466, 0.6509).